# RbMnF3 GGA+U optimized geometry
# crystal system	monoclinic
# SG	No. 15
# calculated density	3.458	g/cm³
# DFT total energy	-5.51	eV/atom
data_RbMnF3
_space_group_name_H-M_alt 'P 1'
_space_group_IT_number 1
_cell_length_a 8.141
_cell_length_b 8.141
_cell_length_c 5.744
_cell_angle_alpha 91.65
_cell_angle_beta 91.65
_cell_angle_gamma 85.42
loop_
_space_group_symop_operation_xyz
'x,y,z'
loop_
_atom_site_label
_atom_site_type_symbol
_atom_site_fract_x
_atom_site_fract_y
_atom_site_fract_z
Rb1 Rb 0.099 0.313 0.299
Rb2 Rb 0.313 0.099 0.799
Rb3 Rb 0.687 0.901 0.201
Rb4 Rb 0.901 0.687 0.701
Mn1 Mn 0.253 0.747 0.250
Mn2 Mn 0.426 0.574 0.750
Mn3 Mn 0.574 0.426 0.250
Mn4 Mn 0.747 0.253 0.750
F1 F 0.008 0.739 0.157
F2 F 0.208 0.608 0.552
F3 F 0.261 0.992 0.343
F4 F 0.337 0.482 0.075
F5 F 0.392 0.792 0.948
F6 F 0.482 0.337 0.575
F7 F 0.518 0.663 0.425
F8 F 0.608 0.208 0.052
F9 F 0.663 0.518 0.925
F10 F 0.739 0.008 0.657
F11 F 0.792 0.392 0.448
F12 F 0.992 0.261 0.843